This record from Alexandria describes an optimized crystal structure of AsRhO. The functional is PBE-GGA.

Results
Magnetic moment (μB/cell): 0.00
ΔE_f (raw) (eV per atom): -0.45
D(E_F) (states/eV/atom): 0.640
DFT total energy (eV per atom): -6.107

CIF file:
```
data_AsRhO
_chemical_formula_sum 'As4 Rh4 O4'
_cell_length_a 5.7786
_cell_length_b 4.7098
_cell_length_c 6.5272
_cell_angle_alpha 90.00
_cell_angle_beta 93.81
_cell_angle_gamma 90.00
_space_group_name_H-M_alt 'P 1 21/c 1'
_space_group_IT_number 14
_space_group_name_Hall '-P 2ybc'
loop_
_atom_site_label
_atom_site_type_symbol
_atom_site_fract_x
_atom_site_fract_y
_atom_site_fract_z
As1 As 0.0768 0.2031 0.4084
Rh1 Rh 0.2872 0.5319 0.6509
O1 O 0.4148 0.7003 0.3787
```